Arrangement A

This record from Alexandria via LeMat-Bulk describes an optimized crystal structure of CaTa2F. The functional is PBE.

Geometry as POSCAR:
```
CaTa2F
1.0
5.789 0.000 0.000
0.000 5.789 0.000
0.000 0.000 11.425
Ca Ta F
4 8 4
Cartesian
0.000 1.447 4.284
0.000 4.342 7.141
2.895 1.447 1.428
2.895 4.342 9.997
0.000 0.000 0.000
0.000 2.895 0.000
1.447 1.447 8.569
1.447 4.342 2.856
2.895 0.000 5.712
2.895 2.895 5.712
4.342 1.447 8.569
4.342 4.342 2.856
0.000 1.447 9.997
0.000 4.342 1.428
2.895 1.447 7.141
2.895 4.342 4.284
```

Results
Its crystal system is tetragonal. The value obtained for the density is 7.30 g/cm3. Its size of the total moment is 0.0 μB per cell. The value obtained for the density of states at the Fermi level is 2.8 states/eV/f.u.

***

Arrangement B

This record from Alexandria via LeMat-Bulk describes an optimized crystal structure of CaTa2F. The functional is PBE.

Geometry as POSCAR:
```
CaTa2F
1.0
6.773 0.000 0.000
0.000 6.773 0.000
0.000 0.000 6.773
Ca Ta F
4 8 4
Cartesian
0.000 0.000 0.000
0.000 3.386 3.386
3.386 0.000 3.386
3.386 3.386 0.000
1.693 1.693 1.693
1.693 1.693 5.079
1.693 5.079 1.693
1.693 5.079 5.079
5.079 1.693 1.693
5.079 1.693 5.079
5.079 5.079 1.693
5.079 5.079 5.079
0.000 0.000 3.386
0.000 3.386 0.000
3.386 0.000 0.000
3.386 3.386 3.386
```

Results
Its crystal system is cubic. The value obtained for the density is 9.00 g/cm3. Its size of the total moment is 3.6 μB per cell. The value obtained for the density of states at the Fermi level is 6.1 states/eV/f.u.

***

Going by the energies, arrangement A is most stable and the next is 733 meV/atom up.